Record 1
Here is crystalline AcEuY at its relaxed geometry from the Alexandria database. Energies are from PBE-GGA.

Calculated values
relative energy among the computed polymorphs = 0.0000 eV/atom
space-group type = P3m1
electronic total energy = -0.5072 Ry/atom

Cell: 3.8273 3.8273 9.2760 Å, 90.00 90.00 120.00°
Last column: nearest neighbours and their distance in Å.
Fractional coordinates of all 3 atoms:
Eu (0.0000, 0.0000, 0.9899)  3 Y 3.74, 6 Eu 3.83, 3 Ac 3.97
Y (0.3333, 0.6667, 0.6650)  3 Ac 3.70, 3 Eu 3.74, 6 Y 3.83
Ac (0.6667, 0.3333, 0.3452)  3 Y 3.70, 6 Ac 3.83, 3 Eu 3.97

Record 2
Here is crystalline AcEuZn2 at its relaxed geometry from the Alexandria database. Energies are from PBE-GGA.

Calculated values
space-group type = P4/mmm
electronic total energy = -0.3306 Ry/atom

Cell: 3.8607 5.4277 5.4277 Å, 90.00 90.00 90.00°
Last column: nearest neighbours and their distance in Å.
Fractional coordinates of all 4 atoms:
Eu (0.5000, 0.5000, 0.5000)  8 Zn 3.33
Ac (0.5000, 0.0000, 0.0000)  8 Zn 3.33
Zn (0.0000, 0.0000, 0.5000)  4 Ac 3.33, 4 Eu 3.33
Zn (0.0000, 0.5000, 0.0000)  4 Ac 3.33, 4 Eu 3.33

Record 3
Here is crystalline AcEuZn at its relaxed geometry from the Alexandria database. Energies are from PBE-GGA.

Calculated values
relative energy among the computed polymorphs = 0.1758 eV/atom
space-group type = F-43m
electronic total energy = -0.3830 Ry/atom

Cell: 5.3745 5.3745 5.3745 Å, 60.00 60.00 60.00°
Last column: nearest neighbours and their distance in Å.
Fractional coordinates of all 3 atoms:
Eu (0.0000, 0.0000, 0.0000)  4 Zn 3.29
Ac (0.5000, 0.5000, 0.5000)  4 Zn 3.29
Zn (0.2500, 0.2500, 0.2500)  4 Ac 3.29, 4 Eu 3.29

Record 4
Here is crystalline AcEuZn4 at its relaxed geometry from the Alexandria database. Energies are from PBE-GGA.

Calculated values
space-group type = F-43m
electronic total energy = -0.2557 Ry/atom

Cell: 5.7533 5.7533 5.7533 Å, 60.00 60.00 60.00°
Last column: nearest neighbours and their distance in Å.
Fractional coordinates of all 6 atoms:
Eu (0.0000, 0.0000, 0.0000)  12 Zn 3.37, 4 Ac 3.52
Ac (0.2500, 0.2500, 0.2500)  12 Zn 3.37, 4 Eu 3.52
Zn (0.6252, 0.6252, 0.1243)  6 Zn 2.87-2.88
Zn (0.6252, 0.1243, 0.6252)  6 Zn 2.87-2.88
Zn (0.6252, 0.6252, 0.6252)  6 Zn 2.87-2.88
Zn (0.1243, 0.6252, 0.6252)  6 Zn 2.87-2.88

Record 5
Here is crystalline AcEuZn at its relaxed geometry from the Alexandria database. Energies are from PBE-GGA.

Calculated values
relative energy among the computed polymorphs = 0.0000 eV/atom
space-group type = I4mm
electronic total energy = -0.3959 Ry/atom

Cell: 3.8898 3.8898 7.2144 Å, 105.64 105.64 90.00°
Last column: nearest neighbours and their distance in Å.
Fractional coordinates of all 3 atoms:
Eu (0.0316, 0.0316, 0.0631)  4 Zn 3.26
Ac (0.3056, 0.3056, 0.6112)  4 Zn 3.35, 1 Eu 3.66
Zn (0.6628, 0.6628, 0.3256)  4 Eu 3.26, 4 Ac 3.35

Record 6
Here is crystalline AcEuZn2 at its relaxed geometry from the Alexandria database. Energies are from PBE-GGA.

Calculated values
space-group type = R-3m
electronic total energy = -0.3142 Ry/atom

Cell: 4.0158 4.0158 9.3927 Å, 77.66 77.66 60.00°
Last column: nearest neighbours and their distance in Å.
Fractional coordinates of all 4 atoms:
Eu (0.0000, 0.0000, 0.0000)  6 Zn 3.21
Ac (0.5000, 0.5000, 0.5000)  6 Zn 3.29
Zn (0.7480, 0.7480, 0.7561)  3 Eu 3.21, 3 Ac 3.29
Zn (0.2520, 0.2520, 0.2439)  3 Eu 3.21, 3 Ac 3.29

Record 7
Here is crystalline AcEuZn at its relaxed geometry from the Alexandria database. Energies are from PBE-GGA.

Calculated values
relative energy among the computed polymorphs = 0.1635 eV/atom
space-group type = P3m1
electronic total energy = -0.3839 Ry/atom

Cell: 4.0729 5.3154 5.3154 Å, 120.00 90.00 90.00°
Last column: nearest neighbours and their distance in Å.
Fractional coordinates of all 3 atoms:
Eu (0.5549, 0.6667, 0.3333)  3 Zn 3.12
Ac (0.0281, 0.0000, 0.0000)  3 Zn 3.45, 6 Eu 3.62-3.74
Zn (0.4170, 0.3333, 0.6667)  3 Eu 3.12, 3 Ac 3.45

Record 8
Here is crystalline AcEuZn2 at its relaxed geometry from the Alexandria database. Energies are from PBE-GGA.

Calculated values
space-group type = Fm-3m
electronic total energy = -0.3304 Ry/atom

Cell: 5.4327 5.4327 5.4327 Å, 60.00 60.00 60.00°
Last column: nearest neighbours and their distance in Å.
Fractional coordinates of all 4 atoms:
Eu (0.7500, 0.7500, 0.7500)  8 Zn 3.33
Ac (0.2500, 0.2500, 0.2500)  8 Zn 3.33
Zn (0.0000, 0.0000, 0.0000)  4 Eu 3.33, 4 Ac 3.33
Zn (0.5000, 0.5000, 0.5000)  4 Ac 3.33, 4 Eu 3.33

Record 9
Here is crystalline Ac4F at its relaxed geometry from the Alexandria database. Energies are from PBE-GGA.

Calculated values
space-group type = Pm-3m
formation energy from raw total energies = -0.9752 eV/atom
electronic total energy = -0.3408 Ry/atom

Cell: 5.6509 5.6509 5.6509 Å, 90.00 90.00 90.00°
Last column: nearest neighbours and their distance in Å.
Fractional coordinates of all 5 atoms:
Ac (0.0000, 0.0000, 0.0000)  12 Ac 4.00
Ac (0.5000, 0.0000, 0.5000)  2 F 2.83
Ac (0.0000, 0.5000, 0.5000)  2 F 2.83
Ac (0.5000, 0.5000, 0.0000)  2 F 2.83
F (0.5000, 0.5000, 0.5000)  6 Ac 2.83

Record 10
Here is crystalline AcF8 at its relaxed geometry from the Alexandria database. Energies are from PBE-GGA.

Calculated values
space-group type = I4/mmm
formation energy from raw total energies = -1.4093 eV/atom
electronic total energy = -0.2594 Ry/atom

Cell: 4.0304 5.8618 5.8618 Å, 83.21 69.89 69.89°
Last column: nearest neighbours and their distance in Å.
Fractional coordinates of all 9 atoms:
Ac (0.0000, 0.0000, 0.0000)  12 F 2.61-2.91
F (0.6500, 0.0000, 0.7000)  2 F 2.34, 2 Ac 2.61
F (0.3500, 0.0000, 0.3000)  2 F 2.34, 2 Ac 2.61
F (0.0000, 0.3739, 0.6261)  1 F 1.96
F (0.3500, 0.3000, 0.0000)  2 F 2.34, 2 Ac 2.61
F (0.6261, 0.3739, 0.3739)  1 F 1.96
F (0.6500, 0.7000, 0.0000)  2 F 2.34, 2 Ac 2.61
F (0.0000, 0.6261, 0.3739)  1 F 1.96
F (0.3739, 0.6261, 0.6261)  1 F 1.96

Record 11
Here is crystalline AcF at its relaxed geometry from the Alexandria database. Energies are from PBE-GGA.

Calculated values
space-group type = Pmmn
formation energy from raw total energies = -2.5542 eV/atom
electronic total energy = -0.4075 Ry/atom

Cell: 4.1147 4.1190 6.6048 Å, 89.99 90.00 90.00°
Last column: nearest neighbours and their distance in Å.
Fractional coordinates of all 4 atoms:
Ac (0.2500, 0.7500, 0.7577)  4 F 2.66-2.68
Ac (0.7500, 0.2500, 0.2423)  4 F 2.66-2.68
F (0.2500, 0.2500, 0.5018)  4 Ac 2.66-2.68, 4 F 2.91
F (0.7500, 0.7500, 0.4982)  4 Ac 2.66-2.68, 4 F 2.91

Record 12
Here is crystalline AcF5 at its relaxed geometry from the Alexandria database. Energies are from PBE-GGA.

Calculated values
space-group type = Cmmm
formation energy from raw total energies = -2.5991 eV/atom
electronic total energy = -0.3560 Ry/atom

Cell: 5.0025 4.4111 4.4637 Å, 119.61 90.00 90.00°
Last column: nearest neighbours and their distance in Å.
Fractional coordinates of all 6 atoms:
Ac (0.0000, 0.0000, 0.0000)  10 F 2.56-2.70
F (0.0000, 0.6682, 0.3364)  5 F 2.54-2.82, 3 Ac 2.56-2.58
F (0.0000, 0.3318, 0.6636)  5 F 2.54-2.82, 3 Ac 2.56-2.58
F (0.5000, 0.5000, 0.0000)  4 F 2.43
F (0.5000, 0.1299, 0.2599)  1 F 2.02
F (0.5000, 0.8701, 0.7401)  1 F 2.02